DFT (GGA-PBE) results for a geometry-optimized LiNdSc structure.

Computed properties:
The calculation puts the energy relative to the lowest polymorph listed for this composition at 31.0 meV per atom.

extended XYZ file:
```
3
Lattice="3.4151 0.0000 0.0000 -1.7075 2.9575 0.0000 0.0000 0.0000 8.1337" Properties=species:S:1:pos:R:3 pbc="T T T"
Li 0.0000 0.0000 0.0000
Nd 0.0000 1.9717 5.2832
Sc 1.7075 0.9858 2.5615
```

DFT (GGA-PBE) results for a geometry-optimized LiNd2Sc structure.

Computed properties:
The calculation puts the energy relative to the lowest polymorph listed for this composition at 90.7 meV per atom.

extended XYZ file:
```
4
Lattice="1.7241 0.9954 12.0929 -1.7241 0.9954 12.0929 0.0000 -1.9908 12.0929" Properties=species:S:1:pos:R:3 pbc="T T T"
Li 0.0000 0.0000 0.0000
Nd 0.0000 0.0000 3.3092
Nd 0.0000 0.0000 32.9695
Sc 0.0000 0.0000 18.1394
```